VASP calculation (GGA+U) on a relaxed MnZnF4 crystal.

DFT total energy = -5.149 eV per atom
size of the total moment = 5.0 μB per formula unit

Cell lengths 5.206, 5.404, 6.263 Å; angles 115.51, 109.95, 90.05 degrees
Space group P-1 (No. 2)
Inequivalent atoms, fractional coordinates:
Mn (0.000, 0.000, 0.000) (multiplicity 1)
Mn (0.500, 0.500, 0.000) (multiplicity 1)
Zn (0.250, 0.703, 0.500) (multiplicity 2)
F (0.155, 0.530, 0.719) (multiplicity 2)
F (0.219, 0.054, 0.777) (multiplicity 2)
F (0.280, 0.777, 0.222) (multiplicity 2)
F (0.346, 0.311, 0.280) (multiplicity 2)